# Rb3CoPb2F9 PBE with a Hubbard U relaxed
data_Rb3CoPb2F9
_space_group_name_H-M_alt 'P -3 m 1'
_space_group_IT_number 164
_space_group_name_Hall '-P 3 2"'
_cell_length_a 6.5165
_cell_length_b 6.5165
_cell_length_c 8.0111
_cell_angle_alpha 90.00
_cell_angle_beta 90.00
_cell_angle_gamma 120.00
loop_
_atom_site_label
_atom_site_fract_x
_atom_site_fract_y
_atom_site_fract_z
Rb1 0.0000 0.0000 0.0000
Rb2 0.3333 0.6667 0.6598
Co1 0.0000 0.0000 0.5000
Pb1 0.3333 0.6667 0.1869
F1 0.0000 0.5000 0.0000
F2 0.1506 0.3012 0.3519
# DFT total energy in eV/cell: -69.37
# Size of the total moment in μB/f.u.: 3.02
# Calculated volume in Å³ per cell: 295